Entry from Alexandria via LeMat-Bulk: a relaxed structure of BiW4O12 (GGA+U).

The structure in CIF format:
```
data_BiW4O12
_space_group_name_H-M_alt 'I 4/m m m'
_space_group_IT_number 139
_space_group_name_Hall '-I 4 2'
_cell_length_a 7.902
_cell_length_b 7.902
_cell_length_c 7.603
_cell_angle_alpha 90.00
_cell_angle_beta 90.00
_cell_angle_gamma 90.00
loop_
_atom_site_label
_atom_site_type_symbol
_atom_site_fract_x
_atom_site_fract_y
_atom_site_fract_z
_atom_site_occupancy
Bi1 Bi 0.000 0.000 0.000 1
W1 W 0.250 0.250 0.250 1
O1 O 0.000 0.242 0.201 1
O2 O 0.212 0.212 0.500 1
```

## Properties
For the density, the calculation gives 7.9 g/cm3. The uncorrected energy is -247.2 eV/cell.